w.
A relaxed structure of InHPt2. Source: Alexandria, functional GGA-PBE.

Computed properties:
Size of the total moment (Bohr magnetons per cell): 0.00

a = 2.916 Å, b = 2.916 Å, c = 8.065 Å
α = 79.58°, β = 79.58°, γ = 60.00°
Positions (direct):
In1 0.000 0.000 0.000
Pt1 0.886 0.886 0.342
H1 0.500 0.500 0.500
Pt2 0.114 0.114 0.658


x.
A relaxed structure of InHPt2. Source: Alexandria, functional GGA-PBE.

Computed properties:
Size of the total moment (Bohr magnetons per cell): 0.17

a = 4.395 Å, b = 4.395 Å, c = 4.395 Å
α = 60.00°, β = 60.00°, γ = 60.00°
Site moments in Bohr magnetons follow the coordinates.
Positions (direct):
In1 0.500 0.500 0.500  0.01
Pt1 0.250 0.250 0.250  0.02
Pt2 0.750 0.750 0.750  0.02
H1 0.000 0.000 0.000  0.07


y.
A relaxed structure of InHPt2. Source: Alexandria, functional GGA-PBE.

Computed properties:
Size of the total moment (Bohr magnetons per cell): 0.00

a = 6.269 Å, b = 6.269 Å, c = 5.276 Å
α = 53.55°, β = 53.55°, γ = 90.00°
Positions (direct):
Pt1 0.875 0.764 0.750
Pt2 0.375 0.486 0.750
In1 0.750 0.250 0.500
H1 0.500 0.500 0.000
Pt3 0.236 0.625 0.250
In2 0.000 0.000 0.000
H2 0.250 0.750 0.500
Pt4 0.514 0.125 0.250


Top of the stability list: y, leading by 35.2 kJ/mol of atoms.